A relaxed structure of Dy4Cd3Ag. Source: Alexandria via LeMat-Bulk, functional PBE.

Lattice parameters (Å, degrees): 3.573 4.898 11.903 90.00 90.00 90.00
Sites, in units of the cell vectors:
Dy: 0.000 0.000 0.000
Dy: 0.000 0.500 0.306
Dy: 0.500 0.000 0.488
Dy: 0.500 0.500 0.814
Cd: 0.000 0.000 0.726
Cd: 0.000 0.500 0.577
Cd: 0.500 0.500 0.081
Ag: 0.500 0.000 0.227

Calculated values
energy relative to the elements = -0.26 eV/atom
SG = Pmm2, No. 25



A relaxed structure of Dy4Cd5Ag. Source: Alexandria via LeMat-Bulk, functional PBE.

Lattice parameters (Å, degrees): 3.676 3.676 18.355 90.00 90.00 90.00
Sites, in units of the cell vectors:
Dy: 0.000 0.000 0.104
Dy: 0.000 0.000 0.311
Dy: 0.000 0.000 0.689
Dy: 0.000 0.000 0.896
Cd: 0.500 0.500 0.000
Cd: 0.500 0.500 0.207
Cd: 0.500 0.500 0.416
Cd: 0.500 0.500 0.584
Cd: 0.500 0.500 0.793
Ag: 0.000 0.000 0.500

Calculated values
energy relative to the elements = -0.26 eV/atom
SG = P4/mmm, No. 123



A relaxed structure of DyCd2Ag4. Source: Alexandria via LeMat-Bulk, functional PBE.

Lattice parameters (Å, degrees): 5.996 5.996 5.996 121.77 112.48 95.22
Sites, in units of the cell vectors:
Dy: 0.000 0.000 0.000
Cd: 0.500 0.000 0.500
Cd: 0.500 0.500 0.000
Ag: 0.000 0.000 0.500
Ag: 0.000 0.500 0.000
Ag: 0.500 0.000 0.000
Ag: 0.500 0.500 0.500

Calculated values
energy relative to the elements = 0.04 eV/atom
SG = Immm, No. 71



> energy relative to the elements of number 1 (Dy4Cd3Ag)?

-0.26 eV/atom



> Which value of energy relative to the elements does entry 1 give?

-0.26 eV/atom